Entry 1:
Here is a geometry-optimized La3MnH structure from Alexandria via LeMat-Bulk. Energies are from PBEsol.

- size of the total moment (μB per formula unit) = 3.9
- electronic total energy (eV per cell) = -28.40

Cell lengths 4.9487, 4.9487, 4.9487 Å; angles 90.00, 90.00, 90.00 degrees
Last column: nearest neighbours and their distance in Å.
Space group Pm-3m (No. 221)
One atom of each set of equivalent atoms:
La 0.0000 0.0000 0.5000 [3 per cell]  2 H 2.47
Mn 0.5000 0.5000 0.5000 [1 per cell]  12 La 3.50
H 0.0000 0.0000 0.0000 [1 per cell]  6 La 2.47



Entry 2:
Here is a geometry-optimized La2ReMoH structure from Alexandria via LeMat-Bulk. Energies are from PBEsol.

- size of the total moment (μB per formula unit) = 1.5
- electronic total energy (eV per cell) = -36.55

Cell lengths 5.0988, 5.0988, 3.5915 Å; angles 90.00, 90.00, 90.00 degrees
Last column: nearest neighbours and their distance in Å.
Space group P4/mmm (No. 123)
One atom of each set of equivalent atoms:
La 0.0000 0.5000 0.0000 [2 per cell]  2 H 2.55
Re 0.0000 0.0000 0.5000 [1 per cell]  2 H 1.80
Mo 0.5000 0.5000 0.5000 [1 per cell]  8 La 3.12
H 0.0000 0.0000 0.0000 [1 per cell]  2 Re 1.80



Repeat the second record exactly.
Here is a geometry-optimized La2ReMoH structure from Alexandria via LeMat-Bulk. Energies are from PBEsol.

- size of the total moment (μB per formula unit) = 1.5
- electronic total energy (eV per cell) = -36.55

Cell lengths 5.0988, 5.0988, 3.5915 Å; angles 90.00, 90.00, 90.00 degrees
Last column: nearest neighbours and their distance in Å.
Space group P4/mmm (No. 123)
One atom of each set of equivalent atoms:
La 0.0000 0.5000 0.0000 [2 per cell]  2 H 2.55
Re 0.0000 0.0000 0.5000 [1 per cell]  2 H 1.80
Mo 0.5000 0.5000 0.5000 [1 per cell]  8 La 3.12
H 0.0000 0.0000 0.0000 [1 per cell]  2 Re 1.80



The lowest electronic total energy belongs to which entry? La2ReMoH